! GGA-PBE ScNiRh2, relaxed; values from VASP
! calculated total energy: -7.12 eV/atom
! ΔE_f: -0.4161 eV/atom
! DOS at the Fermi energy: 4.20 states/eV/cell
&SYSTEM
  ibrav = 0, nat = 4, ntyp = 3
/
ATOMIC_SPECIES
Rh 102.91 Rh.upf
Ni 58.69 Ni.upf
Sc 44.96 Sc.upf
CELL_PARAMETERS angstrom
-2.7303 0.6202 -3.4410
-2.3466 -0.2038 1.8252
0.1448 4.3846 0.6755
ATOMIC_POSITIONS crystal
Rh 0.0000 0.8750 0.0638
Rh 0.5000 0.3750 0.1735
Ni 0.5000 0.8749 0.6899
Sc 0.0000 0.3750 0.5729

=====

! GGA-PBE ScNi2Rh, relaxed; values from VASP
! calculated total energy: -6.19 eV/atom
! ΔE_f: 0.1225 eV/atom
! DOS at the Fermi energy: 5.19 states/eV/cell
&SYSTEM
  ibrav = 0, nat = 4, ntyp = 3
/
ATOMIC_SPECIES
Sc 44.96 Sc.upf
Rh 102.91 Rh.upf
Ni 58.69 Ni.upf
CELL_PARAMETERS angstrom
8.6000 -0.0013 -0.0008
8.1475 2.7531 -0.0008
8.1475 1.3387 2.4057
ATOMIC_POSITIONS crystal
Sc 0.7500 0.7500 0.7500
Rh 0.2500 0.2500 0.2500
Ni 0.5012 0.5012 0.5012
Ni 0.9988 0.9988 0.9988

=====

What did the first record say?
! GGA-PBE ScNiRh2, relaxed; values from VASP
! calculated total energy: -7.12 eV/atom
! ΔE_f: -0.4161 eV/atom
! DOS at the Fermi energy: 4.20 states/eV/cell
&SYSTEM
  ibrav = 0, nat = 4, ntyp = 3
/
ATOMIC_SPECIES
Rh 102.91 Rh.upf
Ni 58.69 Ni.upf
Sc 44.96 Sc.upf
CELL_PARAMETERS angstrom
-2.7303 0.6202 -3.4410
-2.3466 -0.2038 1.8252
0.1448 4.3846 0.6755
ATOMIC_POSITIONS crystal
Rh 0.0000 0.8750 0.0638
Rh 0.5000 0.3750 0.1735
Ni 0.5000 0.8749 0.6899
Sc 0.0000 0.3750 0.5729